Entry 1:
PBE Zr4Ta2Ga3N3, relaxed; SG = C2/c (15); DFT total energy = -207.5 eV per cell; crystal system = monoclinic
1.0
4.815 -2.784 0.000
4.815 2.784 0.000
-3.234 0.000 13.789
Zr Ta Ga N
8 4 6 6
direct
0.034 0.196 0.096 Zr
0.133 0.301 0.404 Zr
0.196 0.034 0.596 Zr
0.301 0.133 0.904 Zr
0.699 0.867 0.096 Zr
0.804 0.966 0.404 Zr
0.867 0.699 0.596 Zr
0.966 0.804 0.904 Zr
0.358 0.528 0.083 Ta
0.472 0.642 0.417 Ta
0.528 0.358 0.583 Ta
0.642 0.472 0.917 Ta
0.124 0.876 0.250 Ga
0.290 0.418 0.750 Ga
0.418 0.290 0.250 Ga
0.582 0.710 0.750 Ga
0.710 0.582 0.250 Ga
0.876 0.124 0.750 Ga
0.000 0.500 0.000 N
0.169 0.665 0.500 N
0.335 0.831 0.000 N
0.500 0.000 0.500 N
0.665 0.169 0.000 N
0.831 0.335 0.500 N

=====

Entry 2:
PBE YTmPd2, relaxed; SG = Pmn2_1 (31); energy of formation from the pure elements = -937 meV/atom; crystal system = orthorhombic
1.0
4.456 0.000 0.000
0.000 6.894 0.000
0.000 0.000 5.650
Y Tm Pd
2 2 4
direct
0.000 0.068 0.000 Y
0.500 0.932 0.500 Y
0.000 0.569 0.216 Tm
0.500 0.431 0.716 Tm
0.000 0.218 0.512 Pd
0.000 0.698 0.703 Pd
0.500 0.302 0.203 Pd
0.500 0.782 0.012 Pd

=====

Entry 3:
PBE LaBMo, relaxed; SG = F-43m (216); DFT total energy = -19.4 eV per cell; crystal system = cubic
1.0
0.000 3.017 3.017
3.017 0.000 3.017
3.017 3.017 0.000
La B Mo
1 1 1
direct
0.000 0.000 0.000 La
0.500 0.500 0.500 B
0.750 0.750 0.750 Mo

=====

Entry 4:
PBE NaHoSc, relaxed; SG = F-43m (216); DFT total energy = -9.0 eV per cell; crystal system = cubic
1.0
0.000 3.749 3.749
3.749 0.000 3.749
3.749 3.749 0.000
Na Ho Sc
1 1 1
direct
0.000 0.000 0.000 Na
0.250 0.250 0.250 Ho
0.500 0.500 0.500 Sc

=====

Entry 5:
PBE ScPAuO, relaxed; SG = Pmc2_1 (26); DFT total energy = -49.9 eV per cell; crystal system = orthorhombic
1.0
4.759 0.000 0.000
0.000 6.972 0.000
0.000 0.000 4.808
Sc P Au O
2 2 2 2
direct
0.000 0.162 0.000 Sc
0.000 0.838 0.500 Sc
0.500 0.332 0.914 P
0.500 0.668 0.414 P
0.500 0.317 0.417 Au
0.500 0.683 0.917 Au
0.000 0.106 0.399 O
0.000 0.894 0.899 O

=====

Entry 6:
PBE Cd3Pb5O12, relaxed; SG = Im-3 (204); DFT total energy = -98.6 eV per cell; crystal system = cubic
1.0
-4.127 4.127 4.127
4.127 -4.127 4.127
4.127 4.127 -4.127
Cd Pb O
3 5 12
direct
0.000 0.500 0.500 Cd
0.500 0.000 0.500 Cd
0.500 0.500 0.000 Cd
0.000 0.000 0.000 Pb
0.000 0.000 0.500 Pb
0.000 0.500 0.000 Pb
0.500 0.000 0.000 Pb
0.500 0.500 0.500 Pb
0.117 0.301 0.816 O
0.184 0.485 0.301 O
0.184 0.883 0.699 O
0.301 0.184 0.485 O
0.301 0.816 0.117 O
0.485 0.301 0.184 O
0.515 0.699 0.816 O
0.699 0.184 0.883 O
0.699 0.816 0.515 O
0.816 0.117 0.301 O
0.816 0.515 0.699 O
0.883 0.699 0.184 O